Compound: FeGeO
Source: Alexandria
Functional: PBE with a Hubbard U
Structure: optimized geometry

Theoretical density (g/cm³): 5.42
Volume (Å³ per cell): 176.92
Uncorrected energy (eV/cell): -68.210

Lattice parameters (Å, degrees): 10.4181 3.2030 5.3019 90.00 90.00 90.00
Space group Amm2 (No. 38)
Asymmetric unit:
Fe (0.2126, 0.0000, 0.0000) (multiplicity 4)
Ge (0.0000, 0.0000, 0.3228) (multiplicity 2)
Ge (0.5000, 0.0000, 0.6456) (multiplicity 2)
O (0.2994, 0.0000, 0.6512) (multiplicity 4)